DFT (PBE+U) results for a relaxed LiDyW2O8 crystal.

DOS(E_F) = 0.00 states/eV/f.u.
calculated volume = 305.8 Å³ per cell
energy = -89.64 eV per formula unit

Unit cell a=5.0893 b=5.9862 c=11.0542 alpha=90.00 beta=114.76 gamma=90.00
With the nearest neighbours (Å) after each atom.
Sites, in units of the cell vectors:
1 Li 0.0000 0.2383 0.2500  4 O 2.05-2.16
2 Li 0.0000 0.7617 0.7500  4 O 2.05-2.16
3 Dy 0.5000 0.1684 0.7500  6 O 2.25-2.32
4 Dy 0.5000 0.8316 0.2500  6 O 2.25-2.32
5 W 0.2634 0.3297 0.0113  4 O 1.83-2.00
6 W 0.2634 0.6703 0.5113  4 O 1.83-2.00
7 W 0.7366 0.3297 0.4887  4 O 1.83-2.00
8 W 0.7366 0.6703 0.9887  4 O 1.83-2.00
9 O 0.1581 0.3900 0.5979  2 W 2.00-2.11
10 O 0.1581 0.6100 0.0979  2 W 2.00-2.11
11 O 0.2334 0.1386 0.1340  1 W 1.83
12 O 0.2334 0.8614 0.6340  1 W 1.83
13 O 0.2781 0.1339 0.8873  1 W 1.83
14 O 0.2781 0.8661 0.3873  1 W 1.83
15 O 0.3397 0.4091 0.3911  1 W 1.91, 1 Li 2.05
16 O 0.3397 0.5909 0.8911  1 W 1.91, 1 Li 2.05
17 O 0.6603 0.4091 0.1089  1 W 1.91, 1 Li 2.05
18 O 0.6603 0.5909 0.6089  1 W 1.91, 1 Li 2.05
19 O 0.7219 0.1339 0.6127  1 W 1.83
20 O 0.7219 0.8661 0.1127  1 W 1.83
21 O 0.7666 0.1386 0.3660  1 W 1.83
22 O 0.7666 0.8614 0.8660  1 W 1.83
23 O 0.8419 0.3900 0.9021  2 W 2.00-2.11
24 O 0.8419 0.6100 0.4021  2 W 2.00-2.11